Computed, not measured: crystalline Sr3Cr3GaO8 at its relaxed geometry at the PBE+U level of DFT.

electronic total energy	-6.726	eV/atom
volume	208.71	Å³/f.u.

a b c (Å): 6.2226 6.8055 6.6272
angles (deg): 119.20 90.00 117.21
Each line ends with the local moment (μB).
Positions (direct):
Ga (0.0000, 0.0000, 0.5000)  0.03
Cr (0.5000, 0.0000, 0.5000)  3.04
Cr (0.0000, 0.5000, 0.5000)  3.75
Cr (0.5000, 0.5000, 0.5000)  3.75
O (0.2775, 0.5551, 0.3146)  -0.06
O (0.2558, 0.0214, 0.7132)  0.00
O (0.2139, 0.4277, 0.6714)  -0.03
O (0.7861, 0.5723, 0.3286)  -0.03
O (0.7656, 0.0214, 0.7132)  0.00
O (0.7442, 0.9786, 0.2868)  0.00
O (0.2344, 0.9786, 0.2868)  0.00
O (0.7225, 0.4449, 0.6854)  -0.06
Sr (0.0000, 0.0000, 0.0000)  0.01
Sr (0.5000, 0.5000, 0.0000)  0.01
Sr (0.0000, 0.5000, 0.0000)  0.01